Density functional theory data (PBE-GGA) for VFeReGe after structural relaxation.

Values from the calculation:
Fermi-level density of states = 5.37 states/eV/cell
E_form = -0.107 eV per atom

a b c (Å): 5.9398 5.9398 5.9398
angles (deg): 90.00 90.00 90.00
Closest atoms and distances in Å follow each position.
Space group F-43m (No. 216)
One atom of each set of equivalent atoms:
V  0.0000  0.0000  0.0000 x4  4 Fe 2.57, 4 Re 2.57
Fe  0.2500  0.2500  0.2500 x4  4 Ge 2.57, 4 V 2.57
Re  0.2500  0.2500  0.7500 x4  4 Ge 2.57, 4 V 2.57
Ge  0.0000  0.0000  0.5000 x4  4 Fe 2.57, 4 Re 2.57